# 1
The following is a DFT calculation (PBE) of an optimized crystal structure of ErTm2Zn.

Values from the calculation:
Its space group is P4/mmm (123). The value obtained for the energy relative to the lowest polymorph listed for this composition is 0 kJ/mol of formula units. For the theoretical density, the calculation gives 9.0 g cm⁻³. Its total energy is -3.86 eV/atom. For the formation energy, the calculation gives -164 meV/atom.

```
ErTm2Zn
1.0
3.5146 0.0000 0.0000
0.0000 3.5146 0.0000
0.0000 0.0000 8.4973
Zn Tm Er
1 2 1
Cartesian
1.7573 1.7573 0.0000
0.0000 0.0000 6.7434
0.0000 0.0000 1.7540
1.7573 1.7573 4.2487
```

***

# 2
The following is a DFT calculation (PBE) of an optimized crystal structure of TaCrInCl2.

Values from the calculation:
Its space group is P4/mmm (123). For the theoretical density, the calculation gives 4.6 g cm⁻³. Its total energy is -4.21 eV/atom. Its formation energy (no corrections) is 1.38 eV/atom.

```
TaCrInCl2
1.0
-0.7753 1.0794 -4.8951
-4.4566 -3.8360 -0.1400
-3.2181 3.6905 1.3235
Cr In Cl Ta
1 1 2 1
Cartesian
-2.2283 -1.9180 -0.0700
0.0000 0.0000 0.0000
-1.6091 1.8453 0.6617
-0.3876 0.5397 -2.4475
-4.2250 0.4670 -1.8558
```

***

# 3
The following is a DFT calculation (PBE) of an optimized crystal structure of BaEuZnBi.

Values from the calculation:
Its space group is F-43m (216). For the theoretical density, the calculation gives 6.8 g cm⁻³. Its total energy is -4.85 eV/atom. For the formation energy, the calculation gives -515 meV/atom.

```
BaEuZnBi
1.0
-1.8769 0.6044 5.4562
-1.9601 -4.6134 2.9211
3.0985 -2.1833 4.3921
Eu Zn Bi Ba
1 1 1 1
Cartesian
-0.5539 -4.6442 9.5771
0.0000 0.0000 0.0000
-0.3693 -3.0962 6.3847
-0.1846 -1.5481 3.1924
```

***

# 4
The following is a DFT calculation (PBE) of an optimized crystal structure of Pr2Ni2Cl.

Values from the calculation:
Its space group is R-3m (166). For the theoretical density, the calculation gives 6.2 g cm⁻³. Its total energy is -5.45 eV/atom. Its formation energy (no corrections) is -0.86 eV/atom.

```
Pr2Ni2Cl
1.0
3.8435 -0.0084 -1.2528
-2.1266 3.4378 -0.0299
0.6376 0.4618 8.4632
Pr Ni Cl
2 2 1
Cartesian
2.5308 1.5762 1.2268
-0.1764 2.3151 5.9538
1.2488 0.8035 3.8199
1.1057 3.0878 3.3607
0.0000 0.0000 0.0000
```

***

# 5
The following is a DFT calculation (PBE) of an optimized crystal structure of HfZn2O4.

Values from the calculation:
Its space group is C2/m (12). For the theoretical density, the calculation gives 6.7 g cm⁻³. Its total energy is -6.91 eV/atom. Its formation energy (no corrections) is -2.29 eV/atom.

```
HfZn2O4
1.0
3.2714 0.0000 0.0000
0.0000 5.2200 -0.5330
-1.6357 -3.0378 5.7182
Hf Zn O
1 2 4
Cartesian
0.0000 0.0000 0.0000
1.6357 2.8625 1.4778
0.0000 -0.6803 3.7074
1.6357 -1.8034 4.0122
0.0000 3.9857 1.1730
1.6357 1.0873 0.7583
0.0000 1.0949 4.4269
```

***

# 6
The following is a DFT calculation (PBE) of an optimized crystal structure of Tb2HoTl2.

Values from the calculation:
Its space group is Immm (71). The value obtained for the energy relative to the lowest polymorph listed for this composition is 13 kJ/mol of formula units. For the theoretical density, the calculation gives 10.1 g cm⁻³. Its total energy is -3.97 eV/atom. For the formation energy, the calculation gives -253 meV/atom.

```
Tb2HoTl2
1.0
-0.4267 -1.9751 -4.3776
2.9593 -5.3221 -0.5424
-3.8748 -4.7267 -0.1449
Tb Ho Tl
2 1 2
Cartesian
-0.3634 -3.4662 -1.0559
-0.9788 -8.5578 -4.0090
0.0000 0.0000 0.0000
-2.1709 -5.8813 -2.4452
0.8288 -6.1427 -2.6197
```

***

# 7
The following is a DFT calculation (PBE) of an optimized crystal structure of Mg2SeCl.

Values from the calculation:
Its space group is Immm (71). The value obtained for the energy relative to the lowest polymorph listed for this composition is 74 kJ/mol of formula units. For the theoretical density, the calculation gives 3.0 g cm⁻³. Its total energy is -2.96 eV/atom. Its formation energy (no corrections) is -0.83 eV/atom.

```
Mg2SeCl
1.0
-1.4594 3.0946 -3.9760
-1.4111 -4.2425 -2.7430
-1.6147 2.4651 4.3394
Cl Mg Se
1 2 1
Cartesian
-2.2547 2.4929 -1.4980
-0.0056 -0.0022 -0.0130
-1.4297 -0.5717 -3.3465
-2.2306 -1.1757 -0.8816
```

***

# 8
The following is a DFT calculation (PBE) of an optimized crystal structure of MgBe4.

Values from the calculation:
Its space group is I4/mmm (139). The value obtained for the energy relative to the lowest polymorph listed for this composition is 44 kJ/mol of formula units. For the theoretical density, the calculation gives 1.8 g cm⁻³. Its total energy is -2.93 eV/atom. For the formation energy, the calculation gives 374 meV/atom.

```
MgBe4
1.0
-1.8102 1.8102 4.3547
1.8102 -1.8102 4.3547
1.8102 1.8102 -4.3547
Mg Be
1 4
Cartesian
0.0000 0.0000 0.0000
0.0000 1.8102 2.1774
0.0000 0.0000 3.2846
0.0000 0.0000 5.4249
1.8102 0.0000 2.1774
```

***

What is the theoretical density in the sixth record?
10.1 g cm⁻³